Model A:
The following is a DFT calculation (GGA-PBE) of crystalline Pu5GaGe3 at its relaxed geometry.

```
data_Pu5GaGe3
_chemical_formula_sum 'Pu10 Ga2 Ge6'
_space_group_name_H-M_alt 'P 63/m c m'
_space_group_IT_number 193
_space_group_name_Hall '-P 6c 2'
_cell_length_a 8.8059
_cell_length_b 8.8059
_cell_length_c 6.1603
_cell_angle_alpha 90.00
_cell_angle_beta 90.00
_cell_angle_gamma 120.00
loop_
_atom_site_label
_atom_site_type_symbol
_atom_site_fract_x
_atom_site_fract_y
_atom_site_fract_z
Pu1 Pu 0.0000 0.3011 0.2500
Pu2 Pu 0.3333 0.6667 0.0000
Ga1 Ga 0.0000 0.0000 0.0000
Ge1 Ge 0.0000 0.3587 0.7500
```

=====

Model B:
The following is a DFT calculation (GGA-PBE) of crystalline Pu5GaGe3 at its relaxed geometry.

```
data_Pu5GaGe3
_chemical_formula_sum 'Pu20 Ga4 Ge12'
_space_group_name_H-M_alt 'C 1 2/m 1'
_space_group_IT_number 12
_space_group_name_Hall '-C 2y'
_cell_length_a 13.021
_cell_length_b 8.320
_cell_length_c 8.593
_cell_angle_alpha 90.00
_cell_angle_beta 101.45
_cell_angle_gamma 90.00
loop_
_atom_site_label
_atom_site_type_symbol
_atom_site_fract_x
_atom_site_fract_y
_atom_site_fract_z
Pu1 Pu 0.000 0.162 0.000
Pu2 Pu 0.011 0.000 0.662
Pu3 Pu 0.124 0.312 0.746
Pu4 Pu 0.241 0.000 0.918
Ga1 Ga 0.108 0.500 0.298
Ge1 Ge 0.000 0.500 0.000
Ge2 Ge 0.000 0.500 0.500
Ge3 Ge 0.184 0.000 0.230
Ge4 Ge 0.202 0.000 0.550
```

=====

Name the most stable of them. model A.

=====

Model A:
The following is a DFT calculation (GGA-PBE) of crystalline PuGaGe2 at its relaxed geometry.

```
data_PuGaGe2
_chemical_formula_sum 'Pu4 Ga4 Ge8'
_space_group_name_H-M_alt 'F m -3 m'
_space_group_IT_number 225
_space_group_name_Hall '-F 4 2 3'
_cell_length_a 6.901
_cell_length_b 6.901
_cell_length_c 6.901
_cell_angle_alpha 90.00
_cell_angle_beta 90.00
_cell_angle_gamma 90.00
loop_
_atom_site_label
_atom_site_type_symbol
_atom_site_fract_x
_atom_site_fract_y
_atom_site_fract_z
Pu1 Pu 0.000 0.000 0.000
Ga1 Ga 0.000 0.000 0.500
Ge1 Ge 0.250 0.250 0.250
```

=====

Model B:
The following is a DFT calculation (GGA-PBE) of crystalline PuGaGe2 at its relaxed geometry.

```
data_PuGaGe2
_chemical_formula_sum 'Pu1 Ga1 Ge2'
_space_group_name_H-M_alt 'P 4/m m m'
_space_group_IT_number 123
_space_group_name_Hall '-P 4 2'
_cell_length_a 3.583
_cell_length_b 3.583
_cell_length_c 6.248
_cell_angle_alpha 90.00
_cell_angle_beta 90.00
_cell_angle_gamma 90.00
loop_
_atom_site_label
_atom_site_type_symbol
_atom_site_fract_x
_atom_site_fract_y
_atom_site_fract_z
Pu1 Pu 0.000 0.000 0.000
Ga1 Ga 0.000 0.000 0.500
Ge1 Ge 0.500 0.500 0.293
```

=====

Model C:
The following is a DFT calculation (GGA-PBE) of crystalline PuGaGe2 at its relaxed geometry.

```
data_PuGaGe2
_chemical_formula_sum 'Pu3 Ga3 Ge6'
_space_group_name_H-M_alt 'R -3 m'
_space_group_IT_number 166
_space_group_name_Hall '-R 3 2"'
_cell_length_a 4.4630
_cell_length_b 4.4630
_cell_length_c 14.3549
_cell_angle_alpha 90.00
_cell_angle_beta 90.00
_cell_angle_gamma 120.00
loop_
_atom_site_label
_atom_site_type_symbol
_atom_site_fract_x
_atom_site_fract_y
_atom_site_fract_z
Pu1 Pu 0.0000 0.0000 0.0000
Ga1 Ga 0.0000 0.0000 0.5000
Ge1 Ge 0.0000 0.0000 0.2214
```

=====

Model D:
The following is a DFT calculation (GGA-PBE) of crystalline PuGaGe2 at its relaxed geometry.

```
data_PuGaGe2
_chemical_formula_sum 'Pu1 Ga1 Ge2'
_space_group_name_H-M_alt 'P 4/m m m'
_space_group_IT_number 123
_space_group_name_Hall '-P 4 2'
_cell_length_a 4.305
_cell_length_b 4.305
_cell_length_c 4.173
_cell_angle_alpha 90.00
_cell_angle_beta 90.00
_cell_angle_gamma 90.00
loop_
_atom_site_label
_atom_site_type_symbol
_atom_site_fract_x
_atom_site_fract_y
_atom_site_fract_z
Pu1 Pu 0.000 0.000 0.000
Ga1 Ga 0.500 0.500 0.000
Ge1 Ge 0.000 0.500 0.500
```

=====

Name the most stable of them. model D.

=====

Model A:
The following is a DFT calculation (GGA-PBE) of crystalline Pu4GaGe at its relaxed geometry.

```
data_Pu4GaGe
_chemical_formula_sum 'Pu4 Ga1 Ge1'
_space_group_name_H-M_alt 'P -1'
_space_group_IT_number 2
_space_group_name_Hall '-P 1'
_cell_length_a 5.108
_cell_length_b 5.109
_cell_length_c 5.117
_cell_angle_alpha 114.80
_cell_angle_beta 93.88
_cell_angle_gamma 91.38
loop_
_atom_site_label
_atom_site_type_symbol
_atom_site_fract_x
_atom_site_fract_y
_atom_site_fract_z
Pu1 Pu 0.036 0.140 0.357
Pu2 Pu 0.461 0.356 0.640
Ga1 Ga 0.000 0.500 0.000
Ge1 Ge 0.500 0.000 0.000
```

=====

Model B:
The following is a DFT calculation (GGA-PBE) of crystalline Pu4GaGe at its relaxed geometry.

```
data_Pu4GaGe
_chemical_formula_sum 'Pu8 Ga2 Ge2'
_space_group_name_H-M_alt 'I m m m'
_space_group_IT_number 71
_space_group_name_Hall '-I 2 2'
_cell_length_a 3.579
_cell_length_b 7.632
_cell_length_c 8.905
_cell_angle_alpha 90.00
_cell_angle_beta 90.00
_cell_angle_gamma 90.00
loop_
_atom_site_label
_atom_site_type_symbol
_atom_site_fract_x
_atom_site_fract_y
_atom_site_fract_z
Pu1 Pu 0.000 0.242 0.163
Ga1 Ga 0.000 0.000 0.500
Ge1 Ge 0.000 0.500 0.500
```

=====

Name the most stable of them. model A.

=====

Model A:
The following is a DFT calculation (GGA-PBE) of crystalline Pu4Ga3Ge at its relaxed geometry.

```
data_Pu4Ga3Ge
_chemical_formula_sum 'Pu4 Ga3 Ge1'
_space_group_name_H-M_alt 'P m m m'
_space_group_IT_number 47
_space_group_name_Hall '-P 2 2'
_cell_length_a 4.106
_cell_length_b 4.605
_cell_length_c 9.212
_cell_angle_alpha 90.00
_cell_angle_beta 90.00
_cell_angle_gamma 90.00
loop_
_atom_site_label
_atom_site_type_symbol
_atom_site_fract_x
_atom_site_fract_y
_atom_site_fract_z
Pu1 Pu 0.000 0.000 0.000
Pu2 Pu 0.000 0.000 0.500
Pu3 Pu 0.000 0.500 0.247
Ga1 Ga 0.500 0.000 0.254
Ga2 Ga 0.500 0.500 0.500
Ge1 Ge 0.500 0.500 0.000
```

=====

Model B:
The following is a DFT calculation (GGA-PBE) of crystalline Pu4Ga3Ge at its relaxed geometry.

```
data_Pu4Ga3Ge
_chemical_formula_sum 'Pu4 Ga3 Ge1'
_space_group_name_H-M_alt 'P m m 2'
_space_group_IT_number 25
_space_group_name_Hall 'P 2 -2'
_cell_length_a 3.791
_cell_length_b 4.819
_cell_length_c 8.679
_cell_angle_alpha 90.00
_cell_angle_beta 90.00
_cell_angle_gamma 90.00
loop_
_atom_site_label
_atom_site_type_symbol
_atom_site_fract_x
_atom_site_fract_y
_atom_site_fract_z
Pu1 Pu 0.000 0.000 0.000
Pu2 Pu 0.000 0.500 0.278
Pu3 Pu 0.500 0.000 0.805
Pu4 Pu 0.500 0.500 0.088
Ga1 Ga 0.000 0.000 0.524
Ga2 Ga 0.500 0.000 0.293
Ga3 Ga 0.500 0.500 0.562
Ge1 Ge 0.000 0.500 0.804
```

=====

Name the most stable of them. model A.

=====

Model A:
The following is a DFT calculation (GGA-PBE) of crystalline PuGa3Ge at its relaxed geometry.

```
data_PuGa3Ge
_chemical_formula_sum 'Pu1 Ga3 Ge1'
_space_group_name_H-M_alt 'P -1'
_space_group_IT_number 2
_space_group_name_Hall '-P 1'
_cell_length_a 5.578
_cell_length_b 5.584
_cell_length_c 6.052
_cell_angle_alpha 117.31
_cell_angle_beta 90.24
_cell_angle_gamma 119.77
loop_
_atom_site_label
_atom_site_type_symbol
_atom_site_fract_x
_atom_site_fract_y
_atom_site_fract_z
Pu1 Pu 0.000 0.000 0.000
Ga1 Ga 0.000 0.000 0.500
Ga2 Ga 0.000 0.500 0.500
Ga3 Ga 0.500 0.500 0.500
Ge1 Ge 0.500 0.000 0.500
```

=====

Model B:
The following is a DFT calculation (GGA-PBE) of crystalline PuGa3Ge at its relaxed geometry.

```
data_PuGa3Ge
_chemical_formula_sum 'Pu4 Ga12 Ge4'
_space_group_name_H-M_alt 'I -4 m 2'
_space_group_IT_number 119
_space_group_name_Hall 'I -4 -2'
_cell_length_a 5.552
_cell_length_b 5.552
_cell_length_c 17.392
_cell_angle_alpha 90.00
_cell_angle_beta 90.00
_cell_angle_gamma 90.00
loop_
_atom_site_label
_atom_site_type_symbol
_atom_site_fract_x
_atom_site_fract_y
_atom_site_fract_z
Pu1 Pu 0.000 0.000 0.217
Ga1 Ga 0.000 0.257 0.619
Ga2 Ga 0.000 0.500 0.162
Ge1 Ge 0.000 0.000 0.500
Ge2 Ge 0.000 0.500 0.750
```

=====

Name the most stable of them. model B.

=====

Model A:
The following is a DFT calculation (GGA-PBE) of crystalline Pu4GaGe2 at its relaxed geometry.

```
data_Pu4GaGe2
_chemical_formula_sum 'Pu12 Ga3 Ge6'
_space_group_name_H-M_alt 'R -3 m'
_space_group_IT_number 166
_space_group_name_Hall '-R 3 2"'
_cell_length_a 4.9534
_cell_length_b 4.9534
_cell_length_c 21.3559
_cell_angle_alpha 90.00
_cell_angle_beta 90.00
_cell_angle_gamma 120.00
loop_
_atom_site_label
_atom_site_type_symbol
_atom_site_fract_x
_atom_site_fract_y
_atom_site_fract_z
Pu1 Pu 0.0000 0.0000 0.0947
Pu2 Pu 0.0000 0.0000 0.2486
Ga1 Ga 0.0000 0.0000 0.5000
Ge1 Ge 0.0000 0.0000 0.3828
```

=====

Model B:
The following is a DFT calculation (GGA-PBE) of crystalline Pu4GaGe2 at its relaxed geometry.

```
data_Pu4GaGe2
_chemical_formula_sum 'Pu8 Ga2 Ge4'
_space_group_name_H-M_alt 'I 4/m m m'
_space_group_IT_number 139
_space_group_name_Hall '-I 4 2'
_cell_length_a 5.581
_cell_length_b 5.581
_cell_length_c 11.252
_cell_angle_alpha 90.00
_cell_angle_beta 90.00
_cell_angle_gamma 90.00
loop_
_atom_site_label
_atom_site_type_symbol
_atom_site_fract_x
_atom_site_fract_y
_atom_site_fract_z
Pu1 Pu 0.000 0.500 0.000
Pu2 Pu 0.000 0.500 0.250
Ga1 Ga 0.000 0.000 0.000
Ge1 Ge 0.000 0.000 0.379
```

=====

Name the most stable of them. model B.

=====

Model A:
The following is a DFT calculation (GGA-PBE) of crystalline PuZnGaGe at its relaxed geometry.

```
data_PuZnGaGe
_chemical_formula_sum 'Pu4 Zn4 Ga4 Ge4'
_space_group_name_H-M_alt 'F -4 3 m'
_space_group_IT_number 216
_space_group_name_Hall 'F -4 2 3'
_cell_length_a 6.776
_cell_length_b 6.776
_cell_length_c 6.776
_cell_angle_alpha 90.00
_cell_angle_beta 90.00
_cell_angle_gamma 90.00
loop_
_atom_site_label
_atom_site_type_symbol
_atom_site_fract_x
_atom_site_fract_y
_atom_site_fract_z
Pu1 Pu 0.000 0.000 0.000
Zn1 Zn 0.000 0.000 0.500
Ga1 Ga 0.250 0.250 0.250
Ge1 Ge 0.250 0.250 0.750
```

=====

Model B:
The following is a DFT calculation (GGA-PBE) of crystalline PuZnGaGe at its relaxed geometry.

```
data_PuZnGaGe
_chemical_formula_sum 'Pu1 Zn1 Ga1 Ge1'
_space_group_name_H-M_alt 'P m m m'
_space_group_IT_number 47
_space_group_name_Hall '-P 2 2'
_cell_length_a 4.153
_cell_length_b 4.210
_cell_length_c 4.447
_cell_angle_alpha 90.00
_cell_angle_beta 90.00
_cell_angle_gamma 90.00
loop_
_atom_site_label
_atom_site_type_symbol
_atom_site_fract_x
_atom_site_fract_y
_atom_site_fract_z
Pu1 Pu 0.000 0.000 0.000
Zn1 Zn 0.000 0.500 0.500
Ga1 Ga 0.500 0.000 0.500
Ge1 Ge 0.500 0.500 0.000
```

=====

Name the most stable of them. model B.

=====

Model A:
The following is a DFT calculation (GGA-PBE) of crystalline Rb2Ga5Ge3 at its relaxed geometry.

```
data_Rb2Ga5Ge3
_chemical_formula_sum 'Rb2 Ga5 Ge3'
_space_group_name_H-M_alt 'P -4 m 2'
_space_group_IT_number 115
_space_group_name_Hall 'P -4 -2'
_cell_length_a 4.710
_cell_length_b 4.710
_cell_length_c 10.826
_cell_angle_alpha 90.00
_cell_angle_beta 90.00
_cell_angle_gamma 90.00
loop_
_atom_site_label
_atom_site_type_symbol
_atom_site_fract_x
_atom_site_fract_y
_atom_site_fract_z
Rb1 Rb 0.000 0.500 0.247
Ga1 Ga 0.000 0.000 0.500
Ga2 Ga 0.000 0.500 0.628
Ga3 Ga 0.500 0.500 0.000
Ga4 Ga 0.500 0.500 0.500
Ge1 Ge 0.000 0.000 0.000
Ge2 Ge 0.000 0.500 0.877
```

=====

Model B:
The following is a DFT calculation (GGA-PBE) of crystalline Rb2Ga5Ge3 at its relaxed geometry.

```
data_Rb2Ga5Ge3
_chemical_formula_sum 'Rb8 Ga20 Ge12'
_space_group_name_H-M_alt 'I b a m'
_space_group_IT_number 72
_space_group_name_Hall '-I 2 2c'
_cell_length_a 10.772
_cell_length_b 13.439
_cell_length_c 6.576
_cell_angle_alpha 90.00
_cell_angle_beta 90.00
_cell_angle_gamma 90.00
loop_
_atom_site_label
_atom_site_type_symbol
_atom_site_fract_x
_atom_site_fract_y
_atom_site_fract_z
Rb1 Rb 0.246 0.126 0.000
Ga1 Ga 0.000 0.257 0.250
Ga2 Ga 0.000 0.500 0.250
Ga3 Ga 0.122 0.125 0.500
Ge1 Ge 0.000 0.000 0.250
Ge2 Ge 0.130 0.379 0.000
```

=====

Name the most stable of them. model B.